{
  "formula": "AlPOsCl2",
  "functional": "SCAN",
  "state": "PBEsol geometry",
  "lattice": [[-2.712, 3.017, 1.598], [-0.021, -2.055, 3.845], [3.946, 2.755, 1.494]],
  "species": ["Cl", "Cl", "Os", "Al", "P"],
  "fractional_positions": [[0.500, 0.000, 0.000], [0.000, 0.500, 0.000], [0.500, 0.500, 0.500], [0.000, 0.000, 0.000], [0.000, 0.000, 0.500]],
  "formation_energy_uncorrected_ev_per_atom": 0.729,
  "sg": "P4/mmm, No. 123",
  "n_ef_per_ev_cell": 2.1
}